Entry 1:
# LiV3O6

LiV3O6 after structural relaxation (PBE+U, the Alexandria database).

Calculated values
* symmetry: C2/m
* energy: -73.560 eV per cell

Cell lengths 5.102, 5.102, 5.445 Å; angles 79.31, 79.31, 118.45 degrees
Last column: magnetic moment on the atom in μB.
Fractional coordinates of all 10 atoms:
Li (0.500, 0.500, 0.500)  0.00
O (0.745, 0.745, 0.789)  -0.04
O (0.402, 0.082, 0.803)  -0.03
O (0.255, 0.255, 0.211)  -0.04
O (0.082, 0.402, 0.803)  -0.03
O (0.598, 0.918, 0.197)  -0.03
O (0.918, 0.598, 0.197)  -0.03
V (0.339, 0.661, 0.000)  1.49
V (0.661, 0.339, 0.000)  1.49
V (0.000, 0.000, 0.000)  1.07

***

Entry 2:
# LiVO2

LiVO2 after structural relaxation (PBE+U, the Alexandria database).

Calculated values
* symmetry: I-42d
* energy: -54.198 eV per cell

Cell lengths 4.544, 4.544, 5.642 Å; angles 66.25, 66.25, 90.00 degrees
Last column: magnetic moment on the atom in μB.
Fractional coordinates of all 8 atoms:
O (0.875, 0.893, 0.750)  -0.03
O (0.107, 0.625, 0.250)  -0.03
O (0.375, 0.357, 0.750)  -0.03
O (0.643, 0.125, 0.250)  -0.03
Li (0.500, 0.500, 0.000)  0.01
Li (0.250, 0.750, 0.500)  0.01
V (0.750, 0.250, 0.500)  1.95
V (0.000, 0.000, 0.000)  1.95

***

Entry 3:
# LiVO2

LiVO2 after structural relaxation (PBE+U, the Alexandria database).

Calculated values
* symmetry: Imma
* energy: -109.704 eV per cell

Cell lengths 5.965, 6.006, 6.006 Å; angles 63.50, 60.22, 60.22 degrees
Last column: magnetic moment on the atom in μB.
Fractional coordinates of all 16 atoms:
Li (0.196, 0.054, 0.054)  0.01
Li (0.000, 0.500, 0.000)  -0.01
Li (0.804, 0.946, 0.946)  0.01
Li (0.000, 0.000, 0.500)  -0.01
O (0.737, 0.751, 0.751)  0.00
O (0.261, 0.751, 0.751)  0.00
O (0.744, 0.723, 0.288)  -0.01
O (0.256, 0.712, 0.277)  -0.01
O (0.744, 0.288, 0.723)  -0.01
O (0.739, 0.249, 0.249)  0.00
O (0.263, 0.249, 0.249)  0.00
O (0.256, 0.277, 0.712)  -0.01
V (0.500, 0.500, 0.000)  1.93
V (0.500, 0.000, 0.500)  1.93
V (0.500, 0.500, 0.500)  1.88
V (0.000, 0.500, 0.500)  1.88

***

Entry 4:
# LiVO2

LiVO2 after structural relaxation (PBE+U, the Alexandria database).

Calculated values
* symmetry: P6/mmm
* energy: -23.188 eV per cell

Cell lengths 3.611, 3.611, 7.074 Å; angles 90.00, 90.00, 120.00 degrees
Last column: magnetic moment on the atom in μB.
Fractional coordinates of all 4 atoms:
O (0.000, 0.000, 0.746)  -0.12
O (0.000, 0.000, 0.254)  -0.12
V (0.000, 0.000, 0.500)  1.86
Li (0.000, 0.000, 0.000)  -0.01

***

Entry 5:
# LiV3O6

LiV3O6 after structural relaxation (PBE+U, the Alexandria database).

Calculated values
* symmetry: P1
* energy: -74.459 eV per cell

Cell lengths 4.972, 5.110, 5.468 Å; angles 62.43, 89.61, 61.00 degrees
Last column: magnetic moment on the atom in μB.
Fractional coordinates of all 10 atoms:
O (0.408, 0.861, 0.225)  -0.04
O (0.868, 0.517, 0.695)  -0.03
O (0.079, 0.503, 0.220)  -0.06
O (0.223, 0.920, 0.697)  -0.06
O (0.625, 0.174, 0.693)  -0.04
O (0.711, 0.185, 0.221)  -0.04
V (0.801, 0.408, 0.402)  1.12
V (0.501, 0.993, 0.494)  1.11
V (0.996, 0.002, 0.003)  1.87
Li (0.288, 0.436, 0.852)  0.00

***

Entry 6:
# LiV2O4

LiV2O4 after structural relaxation (PBE+U, the Alexandria database).

Calculated values
* symmetry: Imma
* energy: -102.574 eV per cell

Cell lengths 5.946, 5.946, 6.042 Å; angles 59.45, 59.47, 61.86 degrees
Last column: magnetic moment on the atom in μB.
Fractional coordinates of all 14 atoms:
O (0.277, 0.713, 0.255)  -0.01
O (0.732, 0.732, 0.745)  -0.04
O (0.287, 0.723, 0.745)  -0.01
O (0.268, 0.268, 0.255)  -0.04
O (0.723, 0.287, 0.745)  -0.01
O (0.268, 0.268, 0.710)  -0.04
O (0.713, 0.277, 0.255)  -0.01
O (0.732, 0.732, 0.290)  -0.04
V (0.500, 0.000, 0.500)  1.86
V (0.500, 0.500, 0.000)  1.10
V (0.500, 0.500, 0.500)  1.10
V (0.000, 0.500, 0.500)  1.86
Li (0.872, 0.872, 0.878)  0.00
Li (0.128, 0.128, 0.122)  0.00

***

Entry 7:
# LiV2O4

LiV2O4 after structural relaxation (PBE+U, the Alexandria database).

Calculated values
* symmetry: P2_1/m
* energy: -101.805 eV per cell

Cell lengths 6.094, 5.109, 5.299 Å; angles 89.53, 90.00, 90.00 degrees
Last column: magnetic moment on the atom in μB.
Fractional coordinates of all 14 atoms:
O (0.750, 0.844, 0.691)  0.00
O (0.750, 0.159, 0.298)  -0.01
O (0.250, 0.841, 0.702)  -0.01
O (0.250, 0.156, 0.309)  0.00
O (0.512, 0.314, 0.692)  -0.03
O (0.988, 0.314, 0.692)  -0.03
O (0.488, 0.686, 0.308)  -0.03
O (0.012, 0.686, 0.308)  -0.03
V (0.500, 0.000, 0.500)  1.08
V (0.000, 0.000, 0.500)  1.08
V (0.750, 0.506, 0.483)  1.86
V (0.250, 0.494, 0.517)  1.86
Li (0.750, 0.162, 0.936)  0.00
Li (0.250, 0.838, 0.064)  0.00

***

Entry 8:
# Li3V7O12

Li3V7O12 after structural relaxation (PBE+U, the Alexandria database).

Calculated values
* symmetry: C2
* energy: -161.817 eV per cell

Cell lengths 5.210, 5.210, 9.912 Å; angles 84.62, 84.62, 119.91 degrees
Last column: magnetic moment on the atom in μB.
Fractional coordinates of all 22 atoms:
V (0.245, 0.755, 0.500)  1.92
V (0.911, 0.089, 0.500)  1.91
V (0.427, 0.573, 0.000)  1.89
V (0.571, 0.429, 0.500)  1.91
V (0.765, 0.235, 0.000)  1.88
V (0.484, 0.999, 0.762)  1.93
V (0.001, 0.516, 0.238)  1.93
O (0.715, 0.505, 0.117)  -0.02
O (0.261, 0.455, 0.387)  -0.01
O (0.155, 0.639, 0.878)  -0.03
O (0.211, 0.040, 0.613)  0.00
O (0.765, 0.939, 0.882)  0.01
O (0.960, 0.789, 0.387)  0.00
O (0.632, 0.159, 0.385)  -0.01
O (0.545, 0.739, 0.613)  -0.01
O (0.841, 0.368, 0.615)  -0.01
O (0.361, 0.845, 0.122)  -0.03
O (0.495, 0.285, 0.883)  -0.02
O (0.061, 0.235, 0.118)  0.01
Li (0.850, 0.672, 0.766)  0.00
Li (0.085, 0.915, 0.000)  0.00
Li (0.328, 0.150, 0.234)  0.00

***

Entry 9:
# LiVO2

LiVO2 after structural relaxation (PBE+U, the Alexandria database).

Calculated values
* symmetry: R-3m
* energy: -24.004 eV per cell

Cell lengths 6.112, 6.112, 6.112 Å; angles 30.03, 30.03, 30.03 degrees
Last column: magnetic moment on the atom in μB.
Fractional coordinates of all 4 atoms:
Li (0.500, 0.500, 0.500)  0.00
O (0.099, 0.099, 0.099)  -0.09
O (0.901, 0.901, 0.901)  -0.09
V (0.000, 0.000, 0.000)  1.51

***

Entry 10:
# Li2V5O10

Li2V5O10 after structural relaxation (PBE+U, the Alexandria database).

Calculated values
* symmetry: P-1
* energy: -250.006 eV per cell

Cell lengths 5.161, 15.368, 5.190 Å; angles 79.54, 103.87, 101.59 degrees
Last column: magnetic moment on the atom in μB.
Fractional coordinates of all 34 atoms:
O (0.498, 0.655, 0.863)  -0.08
O (0.150, 0.937, 0.136)  0.00
O (0.378, 0.110, 0.093)  -0.06
O (0.467, 0.245, 0.698)  -0.03
O (0.766, 0.977, 0.348)  -0.04
O (0.506, 0.343, 0.142)  -0.06
O (0.248, 0.035, 0.649)  -0.01
O (0.887, 0.609, 0.570)  -0.04
O (0.857, 0.070, 0.886)  0.00
O (0.033, 0.255, 0.802)  -0.03
O (0.350, 0.563, 0.364)  0.00
O (0.643, 0.430, 0.614)  0.00
O (0.613, 0.891, 0.930)  -0.04
O (0.252, 0.465, 0.851)  -0.01
O (0.994, 0.157, 0.358)  -0.06
O (0.734, 0.523, 0.151)  -0.04
O (0.002, 0.845, 0.637)  -0.08
O (0.122, 0.390, 0.407)  -0.06
O (0.532, 0.751, 0.309)  -0.02
O (0.968, 0.749, 0.191)  -0.02
V (0.142, 0.158, 0.706)  1.07
V (0.101, 0.053, 0.258)  1.10
V (0.593, 0.551, 0.751)  1.87
V (0.399, 0.447, 0.242)  1.10
V (0.648, 0.657, 0.212)  1.11
V (0.907, 0.949, 0.749)  1.87
V (0.501, 0.999, 0.006)  1.90
V (0.999, 0.501, 0.494)  1.90
V (0.358, 0.342, 0.794)  1.07
V (0.852, 0.843, 0.288)  1.11
Li (0.748, 0.196, 0.004)  0.00
Li (0.752, 0.304, 0.496)  0.00
Li (0.257, 0.801, 0.988)  0.00
Li (0.243, 0.699, 0.513)  0.00

***

Entry 11:
# Li3VO12

Li3VO12 after structural relaxation (PBE+U, the Alexandria database).

Calculated values
* symmetry: P1
* energy: -85.182 eV per cell

Cell lengths 5.713, 5.897, 6.068 Å; angles 92.17, 91.14, 103.51 degrees
Last column: magnetic moment on the atom in μB.
Fractional coordinates of all 16 atoms:
O (0.658, 0.329, 0.468)  0.18
O (0.859, 0.986, 0.943)  -0.14
O (0.056, 0.826, 0.366)  0.23
O (0.147, 0.352, 0.664)  0.01
O (0.319, 0.999, 0.959)  0.35
O (0.820, 0.198, 0.022)  -0.20
O (0.389, 0.881, 0.792)  0.42
O (0.879, 0.938, 0.423)  0.32
O (0.705, 0.493, 0.634)  0.20
O (0.261, 0.450, 0.121)  0.02
O (0.613, 0.425, 0.825)  0.07
O (0.655, 0.826, 0.348)  0.23
Li (0.413, 0.006, 0.477)  0.00
Li (0.553, 0.700, 0.030)  0.00
Li (0.040, 0.470, 0.378)  0.00
V (0.142, 0.248, 0.916)  -0.01

***

Entry 12:
# Li8V11O22

Li8V11O22 after structural relaxation (PBE+U, the Alexandria database).

Calculated values
* symmetry: P-1
* energy: -290.938 eV per cell

Cell lengths 5.207, 8.945, 10.015 Å; angles 114.39, 95.80, 95.16 degrees
Last column: magnetic moment on the atom in μB.
Fractional coordinates of all 41 atoms:
V (0.545, 0.181, 0.085)  1.87
V (0.724, 0.908, 0.445)  1.86
V (0.816, 0.275, 0.637)  1.86
V (0.184, 0.725, 0.363)  1.86
V (0.103, 0.361, 0.182)  1.88
V (0.344, 0.449, 0.721)  1.15
V (0.656, 0.551, 0.279)  1.15
V (0.000, 0.000, 0.000)  1.12
V (0.897, 0.639, 0.818)  1.88
V (0.276, 0.092, 0.555)  1.86
V (0.455, 0.819, 0.915)  1.87
O (0.777, 0.341, 0.275)  -0.01
O (0.430, 0.397, 0.091)  -0.03
O (0.688, 0.985, 0.101)  -0.01
O (0.774, 0.842, 0.807)  0.00
O (0.312, 0.015, 0.899)  -0.01
O (0.867, 0.187, 0.984)  -0.02
O (0.584, 0.116, 0.443)  -0.01
O (0.416, 0.884, 0.557)  -0.01
O (0.346, 0.529, 0.374)  0.00
O (0.147, 0.298, 0.539)  -0.03
O (0.945, 0.068, 0.641)  -0.02
O (0.133, 0.813, 0.016)  -0.02
O (0.055, 0.932, 0.359)  -0.02
O (0.570, 0.603, 0.909)  -0.03
O (0.036, 0.443, 0.829)  -0.01
O (0.497, 0.742, 0.259)  -0.01
O (0.964, 0.557, 0.171)  -0.01
O (0.503, 0.258, 0.741)  -0.01
O (0.654, 0.471, 0.626)  0.00
O (0.226, 0.158, 0.193)  0.00
O (0.223, 0.659, 0.725)  -0.01
O (0.853, 0.702, 0.461)  -0.03
Li (0.658, 0.049, 0.770)  0.00
Li (0.096, 0.865, 0.683)  0.00
Li (0.904, 0.135, 0.317)  0.00
Li (0.465, 0.327, 0.414)  0.00
Li (0.342, 0.951, 0.230)  0.00
Li (0.535, 0.673, 0.586)  0.00
Li (0.722, 0.415, 0.954)  0.00
Li (0.278, 0.585, 0.046)  0.00

***

Entry 13:
# Li4V3O8

Li4V3O8 after structural relaxation (PBE+U, the Alexandria database).

Calculated values
* symmetry: R-3m
* energy: -100.422 eV per cell

Cell lengths 6.140, 6.140, 6.140 Å; angles 56.86, 56.86, 56.86 degrees
Last column: magnetic moment on the atom in μB.
Fractional coordinates of all 15 atoms:
O (0.258, 0.780, 0.258)  -0.03
O (0.742, 0.742, 0.220)  -0.03
O (0.258, 0.258, 0.780)  -0.03
O (0.742, 0.220, 0.742)  -0.03
O (0.780, 0.258, 0.258)  -0.03
O (0.236, 0.236, 0.236)  0.00
O (0.764, 0.764, 0.764)  0.00
O (0.220, 0.742, 0.742)  -0.03
Li (0.500, 0.500, 0.500)  0.00
Li (0.359, 0.359, 0.359)  0.01
Li (0.641, 0.641, 0.641)  0.01
Li (0.000, 0.000, 0.000)  0.00
V (0.000, 0.500, 0.000)  1.03
V (0.000, 0.000, 0.500)  1.03
V (0.500, 0.000, 0.000)  1.03

***

Entry 14:
# LiVO3

LiVO3 after structural relaxation (PBE+U, the Alexandria database).

Calculated values
* symmetry: C2/c
* energy: -136.672 eV per cell

Cell lengths 6.760, 6.760, 5.945 Å; angles 73.59, 73.59, 79.07 degrees
Fractional coordinates of all 20 atoms:
Li (0.727, 0.273, 0.750)
Li (0.081, 0.919, 0.750)
Li (0.273, 0.727, 0.250)
Li (0.919, 0.081, 0.250)
V (0.807, 0.619, 0.270)
V (0.619, 0.807, 0.770)
V (0.381, 0.193, 0.230)
V (0.193, 0.381, 0.730)
O (0.778, 0.996, 0.665)
O (0.087, 0.625, 0.716)
O (0.679, 0.616, 0.585)
O (0.004, 0.222, 0.835)
O (0.321, 0.384, 0.415)
O (0.616, 0.679, 0.085)
O (0.996, 0.778, 0.165)
O (0.384, 0.321, 0.915)
O (0.222, 0.004, 0.335)
O (0.913, 0.375, 0.284)
O (0.625, 0.087, 0.216)
O (0.375, 0.913, 0.784)

***

Entry 15:
# Li5V7O12

Li5V7O12 after structural relaxation (PBE+U, the Alexandria database).

Calculated values
* symmetry: C2
* energy: -169.329 eV per cell

Cell lengths 5.206, 5.206, 9.965 Å; angles 84.61, 84.61, 119.66 degrees
Last column: magnetic moment on the atom in μB.
Fractional coordinates of all 24 atoms:
O (0.148, 0.627, 0.379)  -0.01
O (0.473, 0.289, 0.381)  -0.01
O (0.960, 0.793, 0.874)  0.02
O (0.524, 0.727, 0.127)  0.01
O (0.207, 0.040, 0.126)  0.02
O (0.772, 0.959, 0.381)  0.01
O (0.628, 0.152, 0.875)  0.00
O (0.373, 0.852, 0.621)  -0.01
O (0.848, 0.372, 0.125)  0.00
O (0.041, 0.228, 0.619)  0.01
O (0.273, 0.476, 0.873)  0.01
O (0.711, 0.527, 0.619)  -0.01
V (0.493, 0.004, 0.254)  1.94
V (0.422, 0.578, 0.500)  1.89
V (0.911, 0.089, 0.000)  2.55
V (0.243, 0.757, 0.000)  2.21
V (0.996, 0.507, 0.746)  1.94
V (0.753, 0.247, 0.500)  1.89
V (0.567, 0.433, 0.000)  2.48
Li (0.084, 0.916, 0.500)  0.00
Li (0.840, 0.673, 0.253)  -0.01
Li (0.669, 0.840, 0.747)  -0.01
Li (0.160, 0.331, 0.253)  -0.01
Li (0.327, 0.160, 0.747)  -0.01

***

Entry 16:
# LiV2O

LiV2O after structural relaxation (PBE+U, the Alexandria database).

Calculated values
* symmetry: I-42d
* energy: -43.214 eV per cell

Cell lengths 7.376, 7.376, 5.562 Å; angles 48.47, 48.47, 90.00 degrees
Last column: magnetic moment on the atom in μB.
Fractional coordinates of all 8 atoms:
V (0.979, 0.625, 0.250)  1.50
V (0.375, 0.229, 0.750)  1.50
V (0.875, 0.021, 0.750)  1.50
V (0.771, 0.125, 0.250)  1.50
Li (0.250, 0.750, 0.500)  0.02
Li (0.500, 0.500, 0.000)  0.02
O (0.750, 0.250, 0.500)  -0.06
O (0.000, 0.000, 0.000)  -0.06

***

Entry 17:
# LiVO2

LiVO2 after structural relaxation (PBE+U, the Alexandria database).

Calculated values
* symmetry: P4/mmm
* energy: -27.191 eV per cell

Cell lengths 3.032, 3.032, 3.925 Å; angles 90.00, 90.00, 90.00 degrees
Last column: magnetic moment on the atom in μB.
Fractional coordinates of all 4 atoms:
V (0.500, 0.500, 0.500)  1.98
O (0.000, 0.000, 0.500)  0.00
O (0.500, 0.500, 0.000)  -0.12
Li (0.000, 0.000, 0.000)  -0.01

***

Entry 18:
# LiVO2

LiVO2 after structural relaxation (PBE+U, the Alexandria database).

Calculated values
* symmetry: R3m
* energy: -27.003 eV per cell

Cell lengths 2.765, 2.765, 5.422 Å; angles 75.23, 75.23, 60.00 degrees
Fractional coordinates of all 4 atoms:
Li (0.669, 0.669, 0.993)
O (0.246, 0.246, 0.263)
O (0.086, 0.086, 0.742)
V (0.499, 0.499, 0.502)